# 1
VASP calculation (PBE-GGA) on a relaxed La2CdSi3Au4 crystal.

Values from the calculation:
As for the total magnetization: 0.000 μB/f.u. The calculation puts the uncorrected formation energy at -0.594 eV per atom.

Unit cell a=4.399 b=4.399 c=10.849 alpha=90.00 beta=90.00 gamma=90.00
Space group P-4m2 (No. 115)
Unique sites:
La: 0.000 0.500 0.236 x2
Cd: 0.000 0.000 0.500 x1
Si: 0.000 0.500 0.872 x2
Si: 0.500 0.500 0.500 x1
Au: 0.000 0.000 0.000 x1
Au: 0.000 0.500 0.648 x2
Au: 0.500 0.500 0.000 x1

=====

# 2
VASP calculation (PBE-GGA) on a relaxed NbSiPd3 crystal.

Values from the calculation:
As for the total magnetization: 2.447 μB/f.u. The calculation puts the uncorrected formation energy at 0.239 eV per atom. Its energy above the lowest structure with this stoichiometry is 0.000 eV/atom.

Unit cell a=4.492 b=4.492 c=4.492 alpha=90.00 beta=90.00 gamma=90.00
Space group Pm-3m (No. 221)
Unique sites:
Nb: 0.000 0.000 0.000 x1
Si: 0.500 0.500 0.500 x1
Pd: 0.000 0.500 0.500 x3

=====

# 3
VASP calculation (PBE-GGA) on a relaxed ZrS2I2 crystal.

Values from the calculation:
As for the total magnetization: 0.000 μB/f.u. The calculation puts the uncorrected formation energy at -0.950 eV per atom.

Unit cell a=7.411 b=12.510 c=8.400 alpha=90.00 beta=110.69 gamma=90.00
Space group C2/m (No. 12)
Unique sites:
Zr: 0.000 0.137 0.000 x4
S: 0.124 0.000 0.254 x4
S: 0.216 0.500 0.904 x4
I: 0.231 0.203 0.778 x8

=====

# 4
VASP calculation (PBE-GGA) on a relaxed PmVCo2 crystal.

Values from the calculation:
As for the total magnetization: 0.001 μB/f.u. As for the energy relative to the elements: -0.0441 eV/atom. Its energy above the lowest structure with this stoichiometry is 0.000 eV/atom.

Unit cell a=3.9815 b=3.9815 c=15.2241 alpha=90.00 beta=90.00 gamma=120.00
Space group R-3m (No. 166, hexagonal axes)
Unique sites:
Pm: 0.0000 0.0000 0.0000 x3
V: 0.0000 0.0000 0.5000 x3
Co: 0.0000 0.0000 0.2009 x6

=====

# 5
VASP calculation (PBE-GGA) on a relaxed Y12Ho7Bi crystal.

Values from the calculation:
As for the total magnetization: 0.000 μB/f.u. As for the energy relative to the elements: 0.1340 eV/atom.

Unit cell a=12.0043 b=12.0043 c=15.6448 alpha=90.00 beta=90.00 gamma=120.00
Space group R-3 (No. 148, hexagonal axes)
Unique sites:
Y: 0.0302 0.4523 0.2129 x18
Y: 0.0560 0.5855 0.5854 x18
Ho: 0.0000 0.0000 0.0000 x3
Ho: 0.0552 0.1878 0.2972 x18
Bi: 0.0000 0.0000 0.5000 x3

=====

# 6
VASP calculation (PBE-GGA) on a relaxed ScTa2Sb crystal.

Values from the calculation:
As for the total magnetization: 0.000 μB/f.u. The calculation puts the uncorrected formation energy at 0.034 eV per atom.

Unit cell a=3.053 b=4.969 c=5.359 alpha=90.00 beta=95.80 gamma=90.00
Space group P2/m (No. 10)
Unique sites:
Sc: 0.000 0.000 0.000 x1
Ta: 0.308 0.500 0.766 x2
Sb: 0.500 0.000 0.500 x1

=====

# 7
VASP calculation (PBE-GGA) on a relaxed Cs2LaN crystal.

Values from the calculation:
As for the total magnetization: 0.000 μB/f.u. The calculation puts the uncorrected formation energy at -0.191 eV per atom.

Unit cell a=3.811 b=7.981 c=8.075 alpha=118.32 beta=101.46 gamma=90.20
Space group P1 (No. 1)
Unique sites:
Cs: 0.000 0.000 0.000 x1
Cs: 0.346 0.406 0.709 x1
La: 0.589 0.689 0.254 x1
N: 0.021 0.669 0.095 x1

=====

# 8
VASP calculation (PBE-GGA) on a relaxed Ce2ThUN4 crystal.

Values from the calculation:
As for the total magnetization: 0.993 μB/f.u. The calculation puts the uncorrected formation energy at -1.462 eV per atom.

Unit cell a=5.044 b=5.044 c=10.031 alpha=90.00 beta=90.00 gamma=90.00
Space group I-4m2 (No. 119)
Unique sites:
Ce: 0.000 0.000 0.000 x2
Ce: 0.000 0.500 0.250 x2
Th: 0.000 0.500 0.750 x2
U: 0.000 0.000 0.500 x2
N: 0.000 0.000 0.268 x4
N: 0.000 0.500 0.001 x4

=====

# 9
VASP calculation (PBE-GGA) on a relaxed Pm2VWN5 crystal.

Values from the calculation:
As for the total magnetization: 0.007 μB/f.u. The calculation puts the uncorrected formation energy at -1.026 eV per atom.

Unit cell a=3.302 b=13.262 c=10.313 alpha=90.00 beta=90.00 gamma=90.00
Space group Cmc2_1 (No. 36)
Unique sites:
Pm: 0.000 0.108 0.000 x4
Pm: 0.000 0.144 0.605 x4
V: 0.000 0.465 0.766 x4
W: 0.000 0.218 0.322 x4
N: 0.000 0.049 0.352 x4
N: 0.000 0.284 0.952 x4
N: 0.000 0.320 0.691 x4
N: 0.000 0.362 0.311 x4
N: 0.000 0.492 0.099 x4

=====

# 10
VASP calculation (PBE-GGA) on a relaxed Nd8Si3SeI4 crystal.

Values from the calculation:
As for the total magnetization: 0.000 μB/f.u. The calculation puts the uncorrected formation energy at -1.081 eV per atom.

Unit cell a=8.6474 b=8.6474 c=23.0936 alpha=90.00 beta=90.00 gamma=120.00
Space group R-3m (No. 166, hexagonal axes)
Unique sites:
Nd: 0.0000 0.0000 0.2323 x6
Nd: 0.0097 0.5048 0.7682 x18
Si: 0.0000 0.5000 0.5000 x9
Se: 0.0000 0.0000 0.5000 x3
I: 0.0000 0.0000 0.0000 x3
I: 0.0000 0.5000 0.0000 x9

=====

# 11
VASP calculation (PBE-GGA) on a relaxed RbZnCo2Bi crystal.

Values from the calculation:
As for the total magnetization: 3.649 μB/f.u. As for the energy relative to the elements: 1.1123 eV/atom.

Unit cell a=4.804 b=4.804 c=5.529 alpha=90.00 beta=90.00 gamma=90.00
Space group P4/mmm (No. 123)
Unique sites:
Rb: 0.000 0.000 0.000 x1
Zn: 0.000 0.000 0.500 x1
Co: 0.000 0.500 0.500 x2
Bi: 0.500 0.500 0.000 x1

=====

# 12
VASP calculation (PBE-GGA) on a relaxed La3DyTm2 crystal.

Values from the calculation:
As for the total magnetization: 0.000 μB/f.u. As for the energy relative to the elements: 0.3272 eV/atom. Its energy above the lowest structure with this stoichiometry is 0.242 eV/atom.

Unit cell a=3.477 b=5.996 c=19.697 alpha=90.00 beta=90.00 gamma=90.00
Space group Immm (No. 71)
Unique sites:
La: 0.000 0.000 0.000 x2
La: 0.000 0.500 0.187 x4
Dy: 0.000 0.500 0.000 x2
Tm: 0.000 0.500 0.362 x4